Record 1
RbCa2LaRh | PBE-GGA | relaxed

```
data_RbCa2LaRh
_cell_length_a 5.9580
_cell_length_b 5.9580
_cell_length_c 5.4844
_cell_angle_alpha 90.00
_cell_angle_beta 90.00
_cell_angle_gamma 90.00
_symmetry_space_group_name_H-M 'P 1'
_symmetry_Int_Tables_number 1
_symmetry_space_group_name_Hall 'P 1'
loop_
_atom_site_label
_atom_site_type_symbol
_atom_site_fract_x
_atom_site_fract_y
_atom_site_fract_z
_atom_site_occupancy
Ca1 Ca 0.5000 0.0000 0.0000 1
Rb1 Rb 0.5000 0.5000 0.5000 1
Ca2 Ca 0.0000 0.5000 0.0000 1
La1 La 0.0000 0.0000 0.5000 1
Rh1 Rh 0.0000 0.0000 0.0000 1
```

The value obtained for the total energy is -3.62 eV/atom. For the formation energy, the calculation gives -0.1725 eV/atom. The crystal system is tetragonal. The value obtained for the density of states at the Fermi level is 4.196 states/eV per cell.


Record 2
RbCaLa2Rh | PBE-GGA | relaxed

```
data_RbCaLa2Rh
_cell_length_a 5.6702
_cell_length_b 5.6702
_cell_length_c 6.1095
_cell_angle_alpha 90.00
_cell_angle_beta 90.00
_cell_angle_gamma 90.00
_symmetry_space_group_name_H-M 'P 1'
_symmetry_Int_Tables_number 1
_symmetry_space_group_name_Hall 'P 1'
loop_
_atom_site_label
_atom_site_type_symbol
_atom_site_fract_x
_atom_site_fract_y
_atom_site_fract_z
_atom_site_occupancy
La1 La 0.5000 0.0000 0.0000 1
Rh1 Rh 0.0000 0.0000 0.0000 1
La2 La 0.0000 0.5000 0.0000 1
Rb1 Rb 0.5000 0.5000 0.5000 1
Ca1 Ca 0.0000 0.0000 0.5000 1
```

The value obtained for the total energy is -4.18 eV/atom. For the formation energy, the calculation gives -0.1488 eV/atom. The crystal system is tetragonal. The value obtained for the density of states at the Fermi level is 5.610 states/eV per cell.


Record 3
Rb2CaLaRu | PBE-GGA | relaxed

```
data_Rb2CaLaRu
_cell_length_a 6.5794
_cell_length_b 6.5794
_cell_length_c 4.9831
_cell_angle_alpha 90.00
_cell_angle_beta 90.00
_cell_angle_gamma 90.00
_symmetry_space_group_name_H-M 'P 1'
_symmetry_Int_Tables_number 1
_symmetry_space_group_name_Hall 'P 1'
loop_
_atom_site_label
_atom_site_type_symbol
_atom_site_fract_x
_atom_site_fract_y
_atom_site_fract_z
_atom_site_occupancy
Rb1 Rb 0.5000 0.0000 0.0000 1
Ru1 Ru 0.0000 0.0000 0.5000 1
Ca1 Ca 0.0000 0.0000 0.0000 1
La1 La 0.5000 0.5000 0.5000 1
Rb2 Rb 0.0000 0.5000 0.0000 1
```

The value obtained for the total energy is -2.42 eV/atom. For the formation energy, the calculation gives 1.2088 eV/atom. The crystal system is tetragonal. The value obtained for the density of states at the Fermi level is 9.430 states/eV per cell.


Record 4
RbCa2LaRu | PBE-GGA | relaxed

```
data_RbCa2LaRu
_cell_length_a 6.0174
_cell_length_b 6.0174
_cell_length_c 5.2863
_cell_angle_alpha 90.00
_cell_angle_beta 90.00
_cell_angle_gamma 90.00
_symmetry_space_group_name_H-M 'P 1'
_symmetry_Int_Tables_number 1
_symmetry_space_group_name_Hall 'P 1'
loop_
_atom_site_label
_atom_site_type_symbol
_atom_site_fract_x
_atom_site_fract_y
_atom_site_fract_z
_atom_site_occupancy
La1 La 0.0000 0.0000 0.5000 1
Ca1 Ca 0.0000 0.5000 0.0000 1
Rb1 Rb 0.5000 0.5000 0.5000 1
Ca2 Ca 0.5000 0.0000 0.0000 1
Ru1 Ru 0.0000 0.0000 0.0000 1
```

The value obtained for the total energy is -3.77 eV/atom. For the formation energy, the calculation gives 0.0626 eV/atom. The crystal system is tetragonal. The value obtained for the density of states at the Fermi level is 5.008 states/eV per cell.


Record 5
Rb3CaLa2S6 | PBE-GGA | relaxed

```
data_Rb3CaLa2S6
_cell_length_a 7.4353
_cell_length_b 7.4353
_cell_length_c 8.0668
_cell_angle_alpha 98.82
_cell_angle_beta 98.82
_cell_angle_gamma 120.00
_symmetry_space_group_name_H-M 'P 1'
_symmetry_Int_Tables_number 1
_symmetry_space_group_name_Hall 'P 1'
loop_
_atom_site_label
_atom_site_type_symbol
_atom_site_fract_x
_atom_site_fract_y
_atom_site_fract_z
_atom_site_occupancy
S1 S 0.7317 0.7317 0.1974 1
S2 S 0.5998 0.9340 0.8019 1
S3 S 0.0660 0.4002 0.1981 1
S4 S 0.2683 0.2683 0.8026 1
S5 S 0.4002 0.0660 0.1981 1
La1 La 0.6667 0.3333 0.0000 1
La2 La 0.3333 0.6667 0.0000 1
Rb1 Rb 0.8351 0.1649 0.5000 1
Rb2 Rb 0.5000 0.5000 0.5000 1
S6 S 0.9340 0.5998 0.8019 1
Ca1 Ca 0.0000 0.0000 0.0000 1
Rb3 Rb 0.1649 0.8351 0.5000 1
```

The value obtained for the total energy is -4.97 eV/atom. Its energy relative to the elements, uncorrected is -1.680 eV/atom. The crystal system is monoclinic. The value obtained for the density of states at the Fermi level is 18.310 states/eV per cell.


Record 6
Rb2CaLaSi | PBE-GGA | relaxed

```
data_Rb2CaLaSi
_cell_length_a 6.9352
_cell_length_b 5.7087
_cell_length_c 6.9352
_cell_angle_alpha 90.00
_cell_angle_beta 90.00
_cell_angle_gamma 90.00
_symmetry_space_group_name_H-M 'P 1'
_symmetry_Int_Tables_number 1
_symmetry_space_group_name_Hall 'P 1'
loop_
_atom_site_label
_atom_site_type_symbol
_atom_site_fract_x
_atom_site_fract_y
_atom_site_fract_z
_atom_site_occupancy
Ca1 Ca 0.5000 0.5000 0.5000 1
Rb1 Rb 0.0000 0.0000 0.5000 1
Rb2 Rb 0.5000 0.0000 0.0000 1
Si1 Si 0.0000 0.0000 0.0000 1
La1 La 0.0000 0.5000 0.0000 1
```

The value obtained for the total energy is -2.47 eV/atom. Its energy relative to the elements, uncorrected is 0.385 eV/atom. The crystal system is tetragonal. The value obtained for the density of states at the Fermi level is 5.554 states/eV per cell.


Record 7
Ca3LaRe | PBE-GGA | relaxed

```
data_Ca3LaRe
_cell_length_a 5.4627
_cell_length_b 5.4627
_cell_length_c 5.4627
_cell_angle_alpha 90.00
_cell_angle_beta 90.00
_cell_angle_gamma 90.00
_symmetry_space_group_name_H-M 'P 1'
_symmetry_Int_Tables_number 1
_symmetry_space_group_name_Hall 'P 1'
loop_
_atom_site_label
_atom_site_type_symbol
_atom_site_fract_x
_atom_site_fract_y
_atom_site_fract_z
_atom_site_occupancy
Ca1 Ca 0.0000 0.5000 0.0000 1
Ca2 Ca 0.0000 0.0000 0.5000 1
La1 La 0.0000 0.0000 0.0000 1
Re1 Re 0.5000 0.5000 0.5000 1
Ca3 Ca 0.5000 0.0000 0.0000 1
```

The value obtained for the total energy is -2.56 eV/atom. For the formation energy, the calculation gives 2.1181 eV/atom. The crystal system is cubic. For the excess energy over the best structure of this formula in the dataset, the calculation gives 1403 meV/atom. The value obtained for the density of states at the Fermi level is 12.314 states/eV per cell.


Record 8
CaLa4Re | PBE-GGA | relaxed

```
data_CaLa4Re
_cell_length_a 6.2990
_cell_length_b 7.2146
_cell_length_c 9.6074
_cell_angle_alpha 90.00
_cell_angle_beta 102.39
_cell_angle_gamma 90.00
_symmetry_space_group_name_H-M 'P 1'
_symmetry_Int_Tables_number 1
_symmetry_space_group_name_Hall 'P 1'
loop_
_atom_site_label
_atom_site_type_symbol
_atom_site_fract_x
_atom_site_fract_y
_atom_site_fract_z
_atom_site_occupancy
La1 La 0.1506 0.0083 0.1974 1
Re1 Re 0.1808 0.2500 0.9478 1
La2 La 0.8494 0.9917 0.8026 1
Ca1 Ca 0.7094 0.2500 0.4466 1
La3 La 0.1506 0.4917 0.1974 1
La4 La 0.3696 0.7500 0.9387 1
Ca2 Ca 0.2906 0.7500 0.5534 1
Re2 Re 0.8192 0.7500 0.0522 1
La5 La 0.6304 0.2500 0.0613 1
La6 La 0.7195 0.7500 0.3215 1
La7 La 0.8494 0.5083 0.8026 1
La8 La 0.2805 0.2500 0.6785 1
```

The value obtained for the total energy is -5.57 eV/atom. For the formation energy, the calculation gives 0.1202 eV/atom. The crystal system is monoclinic. For the excess energy over the best structure of this formula in the dataset, the calculation gives 0 meV/atom. The value obtained for the density of states at the Fermi level is 18.367 states/eV per cell.